# Hf2AsRuS

A relaxed Hf2AsRuS crystal (GGA-PBE, Alexandria via LeMat-Bulk).

Calculated values
- energy relative to the elements, uncorrected (eV/atom) = -0.141
- calculated density (Mg/m³) = 9.7
- VASP energy (eV for the cell shown) = -38.7
- DOS(E_F) (states/eV per cell) = 6.10
- calculated volume (Å³/atom) = 19.439
- SG = P4/mmm

Structure (POSCAR):
```
Hf2AsRuS
1.0
4.758 0.000 0.000
0.000 4.758 0.000
0.000 0.000 4.293
Hf As Ru S
2 1 1 1
Direct
0.000 0.500 0.000 Hf
0.500 0.000 0.000 Hf
0.000 0.000 0.500 As
0.500 0.500 0.500 Ru
0.500 0.500 0.000 S
```

***

# HfAsRuSe2

A relaxed HfAsRuSe2 crystal (GGA-PBE, Alexandria via LeMat-Bulk).

Calculated values
- energy relative to the elements, uncorrected (eV/atom) = 0.576
- calculated density (Mg/m³) = 6.4
- VASP energy (eV for the cell shown) = -28.0
- DOS(E_F) (states/eV per cell) = 5.71
- calculated volume (Å³/atom) = 26.727
- SG = P4/mmm

Structure (POSCAR):
```
HfAsRuSe2
1.0
5.089 0.000 0.000
0.000 5.089 0.000
0.000 0.000 5.160
Hf As Ru Se
1 1 1 2
Direct
0.000 0.000 0.000 Hf
0.000 0.000 0.500 As
0.500 0.500 0.500 Ru
0.000 0.500 0.000 Se
0.500 0.000 0.000 Se
```

***

# HfAs2RuSe

A relaxed HfAs2RuSe crystal (GGA-PBE, Alexandria via LeMat-Bulk).

Calculated values
- energy relative to the elements, uncorrected (eV/atom) = 0.771
- calculated density (Mg/m³) = 6.4
- VASP energy (eV for the cell shown) = -28.2
- DOS(E_F) (states/eV per cell) = 5.48
- calculated volume (Å³/atom) = 26.388
- SG = P4/mmm

Structure (POSCAR):
```
HfAs2RuSe
1.0
5.112 0.000 0.000
0.000 5.112 0.000
0.000 0.000 5.049
Hf As Ru Se
1 2 1 1
Direct
0.000 0.000 0.000 Hf
0.000 0.500 0.000 As
0.500 0.000 0.000 As
0.500 0.500 0.500 Ru
0.000 0.000 0.500 Se
```

***

# HfAs2RuSe

A relaxed HfAs2RuSe crystal (GGA-PBE, Alexandria via LeMat-Bulk).

Calculated values
- energy relative to the elements, uncorrected (eV/atom) = 0.457
- calculated density (Mg/m³) = 7.6
- VASP energy (eV for the cell shown) = -29.7
- DOS(E_F) (states/eV per cell) = 5.31
- calculated volume (Å³/atom) = 22.070
- SG = P4/mmm

Structure (POSCAR):
```
HfAs2RuSe
1.0
4.630 0.000 0.000
0.000 4.630 0.000
0.000 0.000 5.147
Hf As Ru Se
1 2 1 1
Direct
0.000 0.000 0.000 Hf
0.000 0.500 0.500 As
0.500 0.000 0.500 As
0.500 0.500 0.500 Ru
0.500 0.500 0.000 Se
```

***

Question: The highest energy relative to the elements, uncorrected belongs to which entry?
Answer: number 3